Run w
# PrNd2Si4Pd2Au2 | OQMD via LeMat-Bulk | GGA-PBE | relaxed
data_PrNd2Si4Pd2Au2
_chemical_formula_sum 'Pr2 Nd4 Si8 Pd4 Au4'
_space_group_name_H-M_alt 'I m m m'
_space_group_IT_number 71
_space_group_name_Hall '-I 2 2'
_cell_length_a 4.2536
_cell_length_b 4.2785
_cell_length_c 24.6929
_cell_angle_alpha 90.00
_cell_angle_beta 90.00
_cell_angle_gamma 90.00
loop_
_atom_site_label
_atom_site_fract_x
_atom_site_fract_y
_atom_site_fract_z
Pr1 0.0000 0.0000 0.0000
Nd1 0.0000 0.5000 0.1494
Si1 0.0000 0.0000 0.4517
Si2 0.0000 0.5000 0.3016
Pd1 0.0000 0.0000 0.2495
Au1 0.0000 0.5000 0.4019
# Calculated volume = 20.4 A^3/atom

Run x
# PrNd2Si4Pd2Au2 | OQMD via LeMat-Bulk | GGA-PBE | relaxed
data_PrNd2Si4Pd2Au2
_chemical_formula_sum 'Pr2 Nd4 Si8 Pd4 Au4'
_space_group_name_H-M_alt 'I m m m'
_space_group_IT_number 71
_space_group_name_Hall '-I 2 2'
_cell_length_a 4.2526
_cell_length_b 4.2813
_cell_length_c 24.8847
_cell_angle_alpha 90.00
_cell_angle_beta 90.00
_cell_angle_gamma 90.00
loop_
_atom_site_label
_atom_site_fract_x
_atom_site_fract_y
_atom_site_fract_z
Pr1 0.0000 0.0000 0.0000
Nd1 0.0000 0.5000 0.1461
Si1 0.0000 0.0000 0.4519
Si2 0.0000 0.5000 0.3101
Pd1 0.0000 0.5000 0.4057
Au1 0.0000 0.0000 0.2489
# Calculated volume = 20.6 A^3/atom

Which one sits at the bottom of the stability order? run x does.

Run w
# NdSnPdAu | OQMD via LeMat-Bulk | GGA-PBE | relaxed
data_NdSnPdAu
_chemical_formula_sum 'Nd2 Sn2 Pd2 Au2'
_space_group_name_H-M_alt 'P 63 m c'
_space_group_IT_number 186
_space_group_name_Hall 'P 6c -2c'
_cell_length_a 4.7384
_cell_length_b 4.7384
_cell_length_c 9.2506
_cell_angle_alpha 90.00
_cell_angle_beta 90.00
_cell_angle_gamma 120.00
loop_
_atom_site_label
_atom_site_fract_x
_atom_site_fract_y
_atom_site_fract_z
Nd1 0.3333 0.6667 0.0000
Sn1 0.0000 0.0000 0.2327
Pd1 0.3333 0.6667 0.6609
Au1 0.3333 0.6667 0.3416
# Calculated volume = 22.5 A^3/atom

Run x
# NdSnPdAu | OQMD via LeMat-Bulk | GGA-PBE | relaxed
data_NdSnPdAu
_chemical_formula_sum 'Nd2 Sn2 Pd2 Au2'
_space_group_name_H-M_alt 'P -3 m 1'
_space_group_IT_number 164
_space_group_name_Hall '-P 3 2"'
_cell_length_a 4.7112
_cell_length_b 4.7112
_cell_length_c 9.4182
_cell_angle_alpha 90.00
_cell_angle_beta 90.00
_cell_angle_gamma 120.00
loop_
_atom_site_label
_atom_site_fract_x
_atom_site_fract_y
_atom_site_fract_z
Nd1 0.3333 0.6667 0.2453
Sn1 0.0000 0.0000 0.0000
Sn2 0.0000 0.0000 0.5000
Pd1 0.3333 0.6667 0.9230
Au1 0.3333 0.6667 0.6075
# Calculated volume = 22.6 A^3/atom

Which one sits at the bottom of the stability order? run w does.

Run w
# PmNdAu | OQMD via LeMat-Bulk | GGA-PBE | relaxed
data_PmNdAu
_chemical_formula_sum 'Pm4 Nd4 Au4'
_space_group_name_H-M_alt 'P n m a'
_space_group_IT_number 62
_space_group_name_Hall '-P 2ac 2n'
_cell_length_a 7.2941
_cell_length_b 5.0929
_cell_length_c 9.2313
_cell_angle_alpha 90.00
_cell_angle_beta 90.00
_cell_angle_gamma 90.00
loop_
_atom_site_label
_atom_site_fract_x
_atom_site_fract_y
_atom_site_fract_z
Pm1 0.1516 0.2500 0.0848
Nd1 0.0078 0.2500 0.6766
Au1 0.2438 0.2500 0.4041
# Calculated volume = 28.6 A^3/atom

Run x
# PmNdAu | OQMD via LeMat-Bulk | GGA-PBE | relaxed
data_PmNdAu
_chemical_formula_sum 'Pm4 Nd4 Au4'
_space_group_name_H-M_alt 'F -4 3 m'
_space_group_IT_number 216
_space_group_name_Hall 'F -4 2 3'
_cell_length_a 7.0287
_cell_length_b 7.0287
_cell_length_c 7.0287
_cell_angle_alpha 90.00
_cell_angle_beta 90.00
_cell_angle_gamma 90.00
loop_
_atom_site_label
_atom_site_fract_x
_atom_site_fract_y
_atom_site_fract_z
Pm1 0.0000 0.0000 0.0000
Nd1 0.2500 0.2500 0.7500
Au1 0.0000 0.0000 0.5000
# Calculated volume = 28.9 A^3/atom

Which one sits at the bottom of the stability order? run x does.

Run w
# PrNd2Zn2Si4Au2 | OQMD via LeMat-Bulk | GGA-PBE | relaxed
data_PrNd2Zn2Si4Au2
_chemical_formula_sum 'Pr2 Nd4 Zn4 Si8 Au4'
_space_group_name_H-M_alt 'I m m m'
_space_group_IT_number 71
_space_group_name_Hall '-I 2 2'
_cell_length_a 4.2380
_cell_length_b 4.2771
_cell_length_c 24.8234
_cell_angle_alpha 90.00
_cell_angle_beta 90.00
_cell_angle_gamma 90.00
loop_
_atom_site_label
_atom_site_fract_x
_atom_site_fract_y
_atom_site_fract_z
Pr1 0.0000 0.0000 0.0000
Nd1 0.0000 0.5000 0.3544
Zn1 0.0000 0.5000 0.0947
Si1 0.0000 0.0000 0.4522
Si2 0.0000 0.5000 0.1907
Au1 0.0000 0.0000 0.2504
# Calculated volume = 20.5 A^3/atom

Run x
# PrNd2Zn2Si4Au2 | OQMD via LeMat-Bulk | GGA-PBE | relaxed
data_PrNd2Zn2Si4Au2
_chemical_formula_sum 'Pr2 Nd4 Zn4 Si8 Au4'
_space_group_name_H-M_alt 'I m m m'
_space_group_IT_number 71
_space_group_name_Hall '-I 2 2'
_cell_length_a 4.2050
_cell_length_b 4.2699
_cell_length_c 25.1956
_cell_angle_alpha 90.00
_cell_angle_beta 90.00
_cell_angle_gamma 90.00
loop_
_atom_site_label
_atom_site_fract_x
_atom_site_fract_y
_atom_site_fract_z
Pr1 0.0000 0.0000 0.0000
Nd1 0.0000 0.5000 0.1475
Zn1 0.0000 0.0000 0.2501
Si1 0.0000 0.0000 0.4527
Si2 0.0000 0.5000 0.3069
Au1 0.0000 0.5000 0.4040
# Calculated volume = 20.6 A^3/atom

Which one sits at the bottom of the stability order? run w does.

Run w
# Pr2NdZn2Si4Au2 | OQMD via LeMat-Bulk | GGA-PBE | relaxed
data_Pr2NdZn2Si4Au2
_chemical_formula_sum 'Pr4 Nd2 Zn4 Si8 Au4'
_space_group_name_H-M_alt 'I m m m'
_space_group_IT_number 71
_space_group_name_Hall '-I 2 2'
_cell_length_a 4.2448
_cell_length_b 4.2854
_cell_length_c 24.8523
_cell_angle_alpha 90.00
_cell_angle_beta 90.00
_cell_angle_gamma 90.00
loop_
_atom_site_label
_atom_site_fract_x
_atom_site_fract_y
_atom_site_fract_z
Pr1 0.0000 0.0000 0.1453
Nd1 0.0000 0.5000 0.5000
Zn1 0.0000 0.0000 0.4056
Si1 0.0000 0.0000 0.3092
Si2 0.0000 0.5000 0.0475
Au1 0.0000 0.5000 0.2496
# Calculated volume = 20.5 A^3/atom

Run x
# Pr2NdZn2Si4Au2 | OQMD via LeMat-Bulk | GGA-PBE | relaxed
data_Pr2NdZn2Si4Au2
_chemical_formula_sum 'Pr4 Nd2 Zn4 Si8 Au4'
_space_group_name_H-M_alt 'I m m m'
_space_group_IT_number 71
_space_group_name_Hall '-I 2 2'
_cell_length_a 4.2144
_cell_length_b 4.2810
_cell_length_c 25.1857
_cell_angle_alpha 90.00
_cell_angle_beta 90.00
_cell_angle_gamma 90.00
loop_
_atom_site_label
_atom_site_fract_x
_atom_site_fract_y
_atom_site_fract_z
Pr1 0.0000 0.0000 0.1474
Nd1 0.0000 0.5000 0.0000
Zn1 0.0000 0.5000 0.2501
Si1 0.0000 0.0000 0.3069
Si2 0.0000 0.5000 0.4530
Au1 0.0000 0.0000 0.4047
# Calculated volume = 20.7 A^3/atom

Which one sits at the bottom of the stability order? run w does.

Run w
# NdSnAuSe3 | OQMD via LeMat-Bulk | GGA-PBE | relaxed
data_NdSnAuSe3
_chemical_formula_sum 'Nd4 Sn4 Au4 Se12'
_space_group_name_H-M_alt 'P n m a'
_space_group_IT_number 62
_space_group_name_Hall '-P 2ac 2n'
_cell_length_a 11.7838
_cell_length_b 4.2781
_cell_length_c 12.0816
_cell_angle_alpha 90.00
_cell_angle_beta 90.00
_cell_angle_gamma 90.00
loop_
_atom_site_label
_atom_site_fract_x
_atom_site_fract_y
_atom_site_fract_z
Nd1 0.0254 0.2500 0.1934
Sn1 0.1956 0.2500 0.4821
Au1 0.2354 0.7500 0.2959
Se1 0.0288 0.7500 0.3699
Se2 0.0919 0.2500 0.9378
Se3 0.2158 0.7500 0.6698
# Calculated volume = 25.4 A^3/atom

Run x
# NdSnAuSe3 | OQMD via LeMat-Bulk | GGA-PBE | relaxed
data_NdSnAuSe3
_chemical_formula_sum 'Nd4 Sn4 Au4 Se12'
_space_group_name_H-M_alt 'C m c m'
_space_group_IT_number 63
_space_group_name_Hall '-C 2c 2'
_cell_length_a 4.1066
_cell_length_b 13.8978
_cell_length_c 10.8097
_cell_angle_alpha 90.00
_cell_angle_beta 90.00
_cell_angle_gamma 90.00
loop_
_atom_site_label
_atom_site_fract_x
_atom_site_fract_y
_atom_site_fract_z
Nd1 0.0000 0.0000 0.0000
Sn1 0.0000 0.2319 0.2500
Au1 0.0000 0.4699 0.7500
Se1 0.0000 0.0966 0.7500
Se2 0.0000 0.3499 0.5616
# Calculated volume = 25.7 A^3/atom

Which one sits at the bottom of the stability order? run w does.

Run w
# Tb2NdZn2Si4Au2 | OQMD via LeMat-Bulk | GGA-PBE | relaxed
data_Tb2NdZn2Si4Au2
_chemical_formula_sum 'Tb4 Nd2 Zn4 Si8 Au4'
_space_group_name_H-M_alt 'I m m m'
_space_group_IT_number 71
_space_group_name_Hall '-I 2 2'
_cell_length_a 4.0996
_cell_length_b 4.2134
_cell_length_c 25.1782
_cell_angle_alpha 90.00
_cell_angle_beta 90.00
_cell_angle_gamma 90.00
loop_
_atom_site_label
_atom_site_fract_x
_atom_site_fract_y
_atom_site_fract_z
Tb1 0.0000 0.0000 0.1468
Nd1 0.0000 0.5000 0.0000
Zn1 0.0000 0.5000 0.2506
Si1 0.0000 0.0000 0.3076
Si2 0.0000 0.5000 0.4527
Au1 0.0000 0.0000 0.4033
# Calculated volume = 19.8 A^3/atom

Run x
# Tb2NdZn2Si4Au2 | OQMD via LeMat-Bulk | GGA-PBE | relaxed
data_Tb2NdZn2Si4Au2
_chemical_formula_sum 'Tb4 Nd2 Zn4 Si8 Au4'
_space_group_name_H-M_alt 'I m m m'
_space_group_IT_number 71
_space_group_name_Hall '-I 2 2'
_cell_length_a 4.1834
_cell_length_b 4.1913
_cell_length_c 24.6674
_cell_angle_alpha 90.00
_cell_angle_beta 90.00
_cell_angle_gamma 90.00
loop_
_atom_site_label
_atom_site_fract_x
_atom_site_fract_y
_atom_site_fract_z
Tb1 0.0000 0.0000 0.1452
Nd1 0.0000 0.5000 0.0000
Zn1 0.0000 0.0000 0.4053
Si1 0.0000 0.0000 0.3107
Si2 0.0000 0.5000 0.4519
Au1 0.0000 0.5000 0.2507
# Calculated volume = 19.7 A^3/atom

Which one sits at the bottom of the stability order? run x does.

Run w
# NdYSi3Au | OQMD via LeMat-Bulk | GGA-PBE | relaxed
data_NdYSi3Au
_chemical_formula_sum 'Nd8 Y8 Si24 Au8'
_space_group_name_H-M_alt 'F m m m'
_space_group_IT_number 69
_space_group_name_Hall '-F 2 2'
_cell_length_a 8.2142
_cell_length_b 8.4323
_cell_length_c 14.3299
_cell_angle_alpha 90.00
_cell_angle_beta 90.00
_cell_angle_gamma 90.00
loop_
_atom_site_label
_atom_site_fract_x
_atom_site_fract_y
_atom_site_fract_z
Nd1 0.0000 0.2437 0.0000
Y1 0.2500 0.2500 0.2500
Si1 0.0000 0.0000 0.1639
Si2 0.2472 0.0000 0.0823
Au1 0.0000 0.0000 0.3313
# Calculated volume = 20.7 A^3/atom

Run x
# NdYSi3Au | OQMD via LeMat-Bulk | GGA-PBE | relaxed
data_NdYSi3Au
_chemical_formula_sum 'Nd8 Y8 Si24 Au8'
_space_group_name_H-M_alt 'F m m m'
_space_group_IT_number 69
_space_group_name_Hall '-F 2 2'
_cell_length_a 8.2801
_cell_length_b 8.4287
_cell_length_c 14.2604
_cell_angle_alpha 90.00
_cell_angle_beta 90.00
_cell_angle_gamma 90.00
loop_
_atom_site_label
_atom_site_fract_x
_atom_site_fract_y
_atom_site_fract_z
Nd1 0.2500 0.2500 0.2500
Y1 0.0000 0.2417 0.0000
Si1 0.0000 0.0000 0.1632
Si2 0.2460 0.0000 0.0815
Au1 0.0000 0.0000 0.3356
# Calculated volume = 20.7 A^3/atom

Which one sits at the bottom of the stability order? run x does.

Run w
# NdZrAu | OQMD via LeMat-Bulk | GGA-PBE | relaxed
data_NdZrAu
_chemical_formula_sum 'Nd4 Zr4 Au4'
_space_group_name_H-M_alt 'F -4 3 m'
_space_group_IT_number 216
_space_group_name_Hall 'F -4 2 3'
_cell_length_a 6.7686
_cell_length_b 6.7686
_cell_length_c 6.7686
_cell_angle_alpha 90.00
_cell_angle_beta 90.00
_cell_angle_gamma 90.00
loop_
_atom_site_label
_atom_site_fract_x
_atom_site_fract_y
_atom_site_fract_z
Nd1 0.0000 0.0000 0.0000
Zr1 0.2500 0.2500 0.7500
Au1 0.0000 0.0000 0.5000
# Calculated volume = 25.8 A^3/atom

Run x
# NdZrAu | OQMD via LeMat-Bulk | GGA-PBE | relaxed
data_NdZrAu
_chemical_formula_sum 'Nd4 Zr4 Au4'
_space_group_name_H-M_alt 'F -4 3 m'
_space_group_IT_number 216
_space_group_name_Hall 'F -4 2 3'
_cell_length_a 6.8124
_cell_length_b 6.8124
_cell_length_c 6.8124
_cell_angle_alpha 90.00
_cell_angle_beta 90.00
_cell_angle_gamma 90.00
loop_
_atom_site_label
_atom_site_fract_x
_atom_site_fract_y
_atom_site_fract_z
Nd1 0.0000 0.0000 0.0000
Zr1 0.2500 0.2500 0.2500
Au1 0.2500 0.2500 0.7500
# Calculated volume = 26.3 A^3/atom

Which one sits at the bottom of the stability order? run x does.

Run w
# PaNiAu | OQMD via LeMat-Bulk | GGA-PBE | relaxed
data_PaNiAu
_chemical_formula_sum 'Pa4 Ni4 Au4'
_space_group_name_H-M_alt 'F -4 3 m'
_space_group_IT_number 216
_space_group_name_Hall 'F -4 2 3'
_cell_length_a 6.2818
_cell_length_b 6.2818
_cell_length_c 6.2818
_cell_angle_alpha 90.00
_cell_angle_beta 90.00
_cell_angle_gamma 90.00
loop_
_atom_site_label
_atom_site_fract_x
_atom_site_fract_y
_atom_site_fract_z
Pa1 0.0000 0.0000 0.0000
Ni1 0.2500 0.2500 0.2500
Au1 0.0000 0.0000 0.5000
# Calculated volume = 20.7 A^3/atom

Run x
# PaNiAu | OQMD via LeMat-Bulk | GGA-PBE | relaxed
data_PaNiAu
_chemical_formula_sum 'Pa4 Ni4 Au4'
_space_group_name_H-M_alt 'F -4 3 m'
_space_group_IT_number 216
_space_group_name_Hall 'F -4 2 3'
_cell_length_a 6.5360
_cell_length_b 6.5360
_cell_length_c 6.5360
_cell_angle_alpha 90.00
_cell_angle_beta 90.00
_cell_angle_gamma 90.00
loop_
_atom_site_label
_atom_site_fract_x
_atom_site_fract_y
_atom_site_fract_z
Pa1 0.0000 0.0000 0.0000
Ni1 0.2500 0.2500 0.2500
Au1 0.2500 0.2500 0.7500
# Calculated volume = 23.3 A^3/atom

Which one sits at the bottom of the stability order? run x does.

Run w
# PrNi2Au2 | OQMD via LeMat-Bulk | GGA-PBE | relaxed
data_PrNi2Au2
_chemical_formula_sum 'Pr2 Ni4 Au4'
_space_group_name_H-M_alt 'I 4/m m m'
_space_group_IT_number 139
_space_group_name_Hall '-I 4 2'
_cell_length_a 4.0733
_cell_length_b 4.0733
_cell_length_c 11.2741
_cell_angle_alpha 90.00
_cell_angle_beta 90.00
_cell_angle_gamma 90.00
loop_
_atom_site_label
_atom_site_fract_x
_atom_site_fract_y
_atom_site_fract_z
Pr1 0.0000 0.0000 0.0000
Ni1 0.0000 0.0000 0.3999
Au1 0.0000 0.5000 0.2500
# Calculated volume = 18.7 A^3/atom

Run x
# PrNi2Au2 | OQMD via LeMat-Bulk | GGA-PBE | relaxed
data_PrNi2Au2
_chemical_formula_sum 'Pr2 Ni4 Au4'
_space_group_name_H-M_alt 'P 4/n m m'
_space_group_IT_number 129
_cell_length_a 4.1908
_cell_length_b 4.1908
_cell_length_c 10.8400
_cell_angle_alpha 90.00
_cell_angle_beta 90.00
_cell_angle_gamma 90.00
loop_
_space_group_symop_operation_xyz
'x,y,z'
'-x,-y,-z'
'-y+1/2,x,z'
'y+1/2,-x,-z'
'-x+1/2,-y+1/2,z'
'x+1/2,y+1/2,-z'
'y,-x+1/2,z'
'-y,x+1/2,-z'
'x+1/2,-y,-z'
'-x+1/2,y,z'
'-y,-x,-z'
'y,x,z'
'-x,y+1/2,-z'
'x,-y+1/2,z'
'y+1/2,x+1/2,-z'
'-y+1/2,-x+1/2,z'
loop_
_atom_site_label
_atom_site_fract_x
_atom_site_fract_y
_atom_site_fract_z
Pr1 0.2500 0.2500 0.2438
Ni1 0.2500 0.2500 0.6410
Ni2 0.2500 0.7500 0.0000
Au1 0.2500 0.2500 0.8661
Au2 0.2500 0.7500 0.5000
# Calculated volume = 19.0 A^3/atom

Which one sits at the bottom of the stability order? run x does.